CePm2Ho PBE optimized geometry; final energy = -4.938 eV per atom; DOS(E_F) = 1.96 states/eV per atom; size of the total moment = 0.6 μB per formula unit; energy above the most stable polymorph in this dataset = 0.0002 eV per atom
1.0
3.5631 0.0000 0.0000
0.0000 3.5631 0.0000
0.0000 0.0000 10.1762
Ho Ce Pm
1 1 2
Direct
0.5000 0.5000 0.5000
0.5000 0.5000 0.0000
0.0000 0.0000 0.7546
0.0000 0.0000 0.2454

---

PrInBiPb PBE optimized geometry; final energy = -4.214 eV per atom; DOS(E_F) = 0.49 states/eV per atom; size of the total moment = 0.0 μB per formula unit
1.0
4.9095 0.0000 0.0000
0.0000 4.8306 0.0000
0.0000 0.0000 5.0148
Pr In Bi Pb
1 1 1 1
Direct
0.5000 0.0000 0.5000
0.0000 0.0000 0.0000
0.0000 0.5000 0.5000
0.5000 0.5000 0.0000

---

ZnCu3Ni6 PBE optimized geometry; final energy = -4.804 eV per atom; DOS(E_F) = 1.15 states/eV per atom; size of the total moment = 1.3 μB per formula unit; energy above the most stable polymorph in this dataset = 0.0000 eV per atom
1.0
2.3859 0.7553 0.0612
-0.7834 6.9176 -4.4900
1.4413 -0.8161 7.5696
Zn Cu Ni
1 3 6
Direct
0.1846 0.0184 0.1396
0.0819 0.4090 0.9444
0.8962 0.1825 0.5565
0.8066 0.5825 0.3587
0.4461 0.9909 0.6594
0.5369 0.6045 0.8487
0.7306 0.8150 0.2400
0.6379 0.2138 0.0400
0.9974 0.7958 0.7480
0.3427 0.3876 0.4646

---

KBaFe2Cl8 PBE optimized geometry; final energy = -4.292 eV per atom; DOS(E_F) = 0.78 states/eV per atom; size of the total moment = 9.0 μB per formula unit
1.0
7.3676 0.0000 0.0000
-3.6838 6.3805 0.0000
0.0000 0.0000 9.5393
K Ba Fe Cl
1 1 2 8
Direct
0.0000 0.0000 0.0000
0.0000 0.0000 0.5000
0.3333 0.6667 0.6703
0.6667 0.3333 0.3297
0.1659 0.3319 0.7494
0.1659 0.8341 0.7494
0.6681 0.8341 0.7494
0.3319 0.1659 0.2506
0.6667 0.3333 0.5606
0.3333 0.6667 0.4394
0.8341 0.6681 0.2506
0.8341 0.1659 0.2506